No. 1
Compound: Nb2TlCd2O7
Source: Alexandria
Functional: PBE
Structure: optimized geometry

Cell: 3.8844 5.7370 9.7296 Å, 107.15 101.51 90.00°
With the nearest neighbours (Å) after each atom.
Fractional positions:
1 Nb 0.3948 0.4653 0.7897  4 O 1.83-2.00
2 Nb 0.6052 0.6756 0.2103  4 O 1.83-2.00
3 Tl 0.0000 0.1016 0.0000  8 O 2.87-3.06
4 Cd 0.2712 0.8289 0.5423  4 O 2.29-2.34
5 Cd 0.7288 0.2866 0.4577  4 O 2.29-2.34
6 O 0.3884 0.7774 0.7767  1 Nb 1.83
7 O 0.7120 0.6656 0.4240  1 Nb 2.06, 3 Cd 2.29-2.30
8 O 0.1062 0.5995 0.2125  2 Nb 1.99
9 O 0.6116 0.0007 0.2233  1 Nb 1.83
10 O 0.2880 0.2416 0.5760  1 Nb 2.06, 3 Cd 2.29-2.30
11 O 0.8938 0.3871 0.7875  2 Nb 1.99
12 O 0.5000 0.4698 0.0000  2 Nb 2.00

Values from the calculation:
Spin magnetization (μB per formula unit): 0.00
Calculated volume (Å³/atom): 16.9
N(E_F) (states/eV/f.u.): 2.90
Raw formation energy (meV per atom): -1801

=====

No. 2
Compound: Co2PbAu
Source: Alexandria
Functional: PBE
Structure: optimized geometry

Cell: 5.2095 5.2095 4.5735 Å, 71.96 71.96 34.17°
With the nearest neighbours (Å) after each atom.
Fractional positions:
1 Au 0.2714 0.2714 0.1926  7 Co 2.75-2.87, 2 Pb 3.03-3.04, 2 Au 3.06
2 Co 0.0289 0.0289 0.0181  2 Co 2.42
3 Co 0.7161 0.7161 0.7451  2 Co 2.42
4 Pb 0.4836 0.4836 0.5441  7 Co 2.75-2.95, 2 Au 3.03-3.04, 2 Pb 3.06

Values from the calculation:
Spin magnetization (μB per formula unit): 2.96
Calculated formation energy (kJ/mol of atoms): 40.3
Calculated volume (Å³/atom): 16.5
N(E_F) (states/eV/f.u.): 6.25

=====

Please write out number 2 again, unchanged.
Compound: Co2PbAu
Source: Alexandria
Functional: PBE
Structure: optimized geometry

Cell: 5.2095 5.2095 4.5735 Å, 71.96 71.96 34.17°
With the nearest neighbours (Å) after each atom.
Fractional positions:
1 Au 0.2714 0.2714 0.1926  7 Co 2.75-2.87, 2 Pb 3.03-3.04, 2 Au 3.06
2 Co 0.0289 0.0289 0.0181  2 Co 2.42
3 Co 0.7161 0.7161 0.7451  2 Co 2.42
4 Pb 0.4836 0.4836 0.5441  7 Co 2.75-2.95, 2 Au 3.03-3.04, 2 Pb 3.06

Values from the calculation:
Spin magnetization (μB per formula unit): 2.96
Calculated formation energy (kJ/mol of atoms): 40.3
Calculated volume (Å³/atom): 16.5
N(E_F) (states/eV/f.u.): 6.25

=====

What did the second record say?
Compound: Co2PbAu
Source: Alexandria
Functional: PBE
Structure: optimized geometry

Cell: 5.2095 5.2095 4.5735 Å, 71.96 71.96 34.17°
With the nearest neighbours (Å) after each atom.
Fractional positions:
1 Au 0.2714 0.2714 0.1926  7 Co 2.75-2.87, 2 Pb 3.03-3.04, 2 Au 3.06
2 Co 0.0289 0.0289 0.0181  2 Co 2.42
3 Co 0.7161 0.7161 0.7451  2 Co 2.42
4 Pb 0.4836 0.4836 0.5441  7 Co 2.75-2.95, 2 Au 3.03-3.04, 2 Pb 3.06

Values from the calculation:
Spin magnetization (μB per formula unit): 2.96
Calculated formation energy (kJ/mol of atoms): 40.3
Calculated volume (Å³/atom): 16.5
N(E_F) (states/eV/f.u.): 6.25

=====

What did the second record say?
Compound: Co2PbAu
Source: Alexandria
Functional: PBE
Structure: optimized geometry

Cell: 5.2095 5.2095 4.5735 Å, 71.96 71.96 34.17°
With the nearest neighbours (Å) after each atom.
Fractional positions:
1 Au 0.2714 0.2714 0.1926  7 Co 2.75-2.87, 2 Pb 3.03-3.04, 2 Au 3.06
2 Co 0.0289 0.0289 0.0181  2 Co 2.42
3 Co 0.7161 0.7161 0.7451  2 Co 2.42
4 Pb 0.4836 0.4836 0.5441  7 Co 2.75-2.95, 2 Au 3.03-3.04, 2 Pb 3.06

Values from the calculation:
Spin magnetization (μB per formula unit): 2.96
Calculated formation energy (kJ/mol of atoms): 40.3
Calculated volume (Å³/atom): 16.5
N(E_F) (states/eV/f.u.): 6.25